BeTlRe2 after structural relaxation. Source: the Alexandria database, functional PBE.

```
data_BeTlRe2
_chemical_formula_sum 'Be2 Tl2 Re4'
_space_group_name_H-M_alt 'I m m 2'
_space_group_IT_number 44
_space_group_name_Hall 'I 2 -2'
_cell_length_a 3.1245
_cell_length_b 4.4819
_cell_length_c 8.6210
_cell_angle_alpha 90.00
_cell_angle_beta 90.00
_cell_angle_gamma 90.00
loop_
_atom_site_label
_atom_site_type_symbol
_atom_site_fract_x
_atom_site_fract_y
_atom_site_fract_z
Be1 Be 0.0000 0.0000 0.0000
Tl1 Tl 0.0000 0.5000 0.2560
Re1 Re 0.0000 0.0000 0.4759
Re2 Re 0.0000 0.5000 0.7122
```

Values from the calculation:
The value obtained for the total moment is 0.00 μB per formula unit. The density of states at the Fermi level is 5.92 states/eV/cell. The formation energy from the elements is 0.819 eV/atom. Its polymorph energy (0 for the lowest one) is 508 meV per atom.